Entry 1:
The following is a PBE calculation of an optimized crystal structure of RbLi2Sb, from Alexandria.

The structure in POSCAR format:
```
RbLi2Sb
1.0
4.807 0.000 0.000
-2.403 4.163 0.000
0.000 0.000 18.393
Rb Li Sb
3 6 3
Direct
0.000 0.000 0.000
0.333 0.667 0.667
0.667 0.333 0.333
0.000 0.000 0.185
0.000 0.000 0.815
0.333 0.667 0.482
0.333 0.667 0.851
0.667 0.333 0.149
0.667 0.333 0.518
0.000 0.000 0.500
0.333 0.667 0.167
0.667 0.333 0.833
```

=====

Entry 2:
The following is a PBE calculation of an optimized crystal structure of SmCdCu2, from Alexandria.

The structure in POSCAR format:
```
SmCdCu2
1.0
3.400 0.000 0.000
0.000 3.400 0.000
0.000 0.000 6.713
Sm Cd Cu
1 1 2
Direct
0.000 0.000 0.000
0.000 0.000 0.500
0.500 0.500 0.282
0.500 0.500 0.718
```

=====

Entry 3:
The following is a PBE calculation of an optimized crystal structure of Mg3Ti2Al18, from Alexandria.

The structure in POSCAR format:
```
Mg3Ti2Al18
1.0
0.000 7.379 7.379
7.379 0.000 7.379
7.379 7.379 0.000
Mg Ti Al
6 4 36
Direct
0.000 0.000 0.000
0.000 0.000 0.500
0.000 0.500 0.000
0.125 0.125 0.125
0.500 0.000 0.000
0.875 0.875 0.875
0.000 0.500 0.500
0.500 0.000 0.500
0.500 0.500 0.000
0.500 0.500 0.500
0.057 0.325 0.325
0.057 0.325 0.793
0.057 0.793 0.325
0.207 0.675 0.675
0.207 0.675 0.943
0.207 0.943 0.675
0.236 0.236 0.514
0.236 0.514 0.236
0.236 0.514 0.514
0.325 0.057 0.325
0.325 0.057 0.793
0.325 0.325 0.057
0.325 0.325 0.793
0.325 0.793 0.057
0.325 0.793 0.325
0.486 0.486 0.764
0.486 0.764 0.486
0.486 0.764 0.764
0.514 0.236 0.236
0.514 0.236 0.514
0.514 0.514 0.236
0.675 0.207 0.675
0.675 0.207 0.943
0.675 0.675 0.207
0.675 0.675 0.943
0.675 0.943 0.207
0.675 0.943 0.675
0.764 0.486 0.486
0.764 0.486 0.764
0.764 0.764 0.486
0.793 0.057 0.325
0.793 0.325 0.057
0.793 0.325 0.325
0.943 0.207 0.675
0.943 0.675 0.207
0.943 0.675 0.675
```

=====

Entry 4:
The following is a PBE calculation of an optimized crystal structure of Ti3OsPd, from Alexandria.

The structure in POSCAR format:
```
Ti3OsPd
1.0
4.703 0.000 0.000
0.000 4.703 0.000
0.000 0.000 4.703
Ti Os Pd
3 1 1
Direct
0.000 0.000 0.500
0.000 0.500 0.000
0.500 0.000 0.000
0.000 0.000 0.000
0.500 0.500 0.500
```

Calculated values
* E above lowest polymorph: 0.0 meV/atom

=====

Entry 5:
The following is a PBE calculation of an optimized crystal structure of HfTh2Mg, from Alexandria.

The structure in POSCAR format:
```
HfTh2Mg
1.0
7.626 0.000 0.000
0.000 7.626 0.000
0.000 0.000 7.626
Hf Th Mg
4 8 4
Direct
0.000 0.000 0.000
0.000 0.500 0.500
0.500 0.000 0.500
0.500 0.500 0.000
0.250 0.250 0.250
0.250 0.250 0.750
0.250 0.750 0.250
0.250 0.750 0.750
0.750 0.250 0.250
0.750 0.250 0.750
0.750 0.750 0.250
0.750 0.750 0.750
0.000 0.000 0.500
0.000 0.500 0.000
0.500 0.000 0.000
0.500 0.500 0.500
```

Calculated values
* E above lowest polymorph: 69.2 meV/atom

=====

Entry 6:
The following is a PBE calculation of an optimized crystal structure of TbAl2CdAg5, from Alexandria.

The structure in POSCAR format:
```
TbAl2CdAg5
1.0
4.881 0.000 0.000
0.000 4.881 0.000
0.000 0.000 7.790
Tb Al Cd Ag
1 2 1 5
Direct
0.000 0.000 0.000
0.500 0.500 0.340
0.500 0.500 0.660
0.000 0.000 0.500
0.000 0.500 0.231
0.000 0.500 0.769
0.500 0.000 0.231
0.500 0.000 0.769
0.500 0.500 0.000
```

=====

Entry 7:
The following is a PBE calculation of an optimized crystal structure of CuNiRu, from Alexandria.

The structure in POSCAR format:
```
CuNiRu
1.0
8.251 0.000 0.000
0.000 3.646 0.000
-1.722 0.000 4.918
Cu Ni Ru
4 4 4
Direct
0.000 0.000 0.000
0.164 0.500 0.305
0.500 0.500 0.000
0.664 0.000 0.305
0.330 0.000 0.156
0.496 0.500 0.481
0.830 0.500 0.156
0.996 0.000 0.481
0.164 0.500 0.801
0.334 0.000 0.657
0.664 0.000 0.801
0.834 0.500 0.657
```

Calculated values
* E above lowest polymorph: 4.7 meV/atom

=====

Entry 8:
The following is a PBE calculation of an optimized crystal structure of B2PdSeN, from Alexandria.

The structure in POSCAR format:
```
B2PdSeN
1.0
3.911 0.000 0.000
0.000 3.911 0.000
0.000 0.000 5.293
B Pd Se N
2 1 1 1
Direct
0.000 0.500 0.000
0.500 0.000 0.000
0.000 0.000 0.000
0.000 0.000 0.500
0.500 0.500 0.500
```

=====

Entry 9:
The following is a PBE calculation of an optimized crystal structure of BiMoCl3, from Alexandria.

The structure in POSCAR format:
```
BiMoCl3
1.0
5.136 0.000 0.000
0.000 5.136 0.000
0.000 0.000 5.136
Bi Mo Cl
1 1 3
Direct
0.000 0.000 0.000
0.500 0.500 0.500
0.000 0.500 0.500
0.500 0.000 0.500
0.500 0.500 0.000
```

Calculated values
* E above lowest polymorph: 0.0 meV/atom

=====

Entry 10:
The following is a PBE calculation of an optimized crystal structure of InCuSi, from Alexandria.

The structure in POSCAR format:
```
InCuSi
1.0
3.890 0.000 0.000
0.011 5.003 0.000
1.865 2.152 5.783
In Cu Si
2 2 2
Direct
0.000 0.000 0.000
0.464 0.503 0.993
0.522 0.573 0.409
0.526 0.075 0.407
0.956 0.764 0.548
0.958 0.263 0.548
```

=====

Entry 11:
The following is a PBE calculation of an optimized crystal structure of SmPuTh2S4, from Alexandria.

The structure in POSCAR format:
```
SmPuTh2S4
1.0
6.900 0.000 0.000
0.000 3.988 0.000
-2.305 0.000 6.626
Sm Pu Th S
1 1 2 4
Direct
0.000 0.000 0.000
0.500 0.500 0.000
0.000 0.500 0.500
0.500 0.000 0.500
0.250 0.500 0.243
0.255 0.000 0.759
0.745 0.000 0.241
0.750 0.500 0.757
```

=====

Entry 12:
The following is a PBE calculation of an optimized crystal structure of MgGaRu, from Alexandria.

The structure in POSCAR format:
```
MgGaRu
1.0
4.229 0.000 0.000
0.000 3.250 0.000
0.000 0.000 13.266
Mg Ga Ru
4 4 4
Direct
0.000 0.000 0.000
0.000 0.500 0.500
0.500 0.000 0.189
0.500 0.500 0.689
0.000 0.000 0.669
0.000 0.500 0.169
0.500 0.000 0.871
0.500 0.500 0.371
0.000 0.000 0.327
0.000 0.500 0.827
0.500 0.000 0.527
0.500 0.500 0.027
```

=====

Number 1: total DFT energy (no corrections) -33.4 eV per cell. Number 2: total DFT energy (no corrections) -14.0 eV per cell. Number 3: total DFT energy (no corrections) -183.4 eV per cell. Number 4: total DFT energy (no corrections) -37.9 eV per cell. Number 5: total DFT energy (no corrections) -102.9 eV per cell. Number 6: total DFT energy (no corrections) -27.4 eV per cell. Number 7: total DFT energy (no corrections) -75.0 eV per cell. Number 8: total DFT energy (no corrections) -20.8 eV per cell. Number 9: total DFT energy (no corrections) -20.0 eV per cell. Number 10: total DFT energy (no corrections) -23.7 eV per cell. Number 11: total DFT energy (no corrections) -65.4 eV per cell. Number 12: total DFT energy (no corrections) -58.6 eV per cell.